(1)
This record from Alexandria describes a relaxed structure of Pm2MgBr. The functional is PBE.

The structure belongs to space group R3m (No. 160, hexagonal axes); the cell edges are 3.6708, 3.6708 and 30.2936 Å and the angles 90.00°, 90.00° and 120.00°. Symmetry generates all atoms from Pm at (0.0000, 0.0000, 0.0000), Pm at (0.0000, 0.0000, 0.1757), Mg at (0.0000, 0.0000, 0.4210) and Br at (0.0000, 0.0000, 0.5875).

As for the polymorph energy (0 for the lowest one): 0.000 eV/atom. As for the size of the total moment: 0.000 μB per atom. The calculated volume is 353.5 Å³ per cell. The formation energy without anion corrections is -501.5 meV per atom. As for the total DFT energy (no corrections): -3.694 eV per atom.

---

(2)
This record from Alexandria describes a relaxed structure of PmMgBr2. The functional is PBE.

The structure belongs to space group R-3m (No. 166, hexagonal axes); the cell edges are 3.7696, 3.7696 and 28.4078 Å and the angles 90.00°, 90.00° and 120.00°. Symmetry generates all atoms from Pm at (0.0000, 0.0000, 0.0000), Mg at (0.0000, 0.0000, 0.5000) and Br at (0.0000, 0.0000, 0.1110).

As for the size of the total moment: 0.000 μB per atom. The calculated volume is 349.6 Å³ per cell. The formation energy without anion corrections is -788.5 meV per atom. As for the total DFT energy (no corrections): -3.211 eV per atom.

---

(3)
This record from Alexandria describes a relaxed structure of PmMgBr4. The functional is PBE.

The structure belongs to space group P2/m (No. 10); the cell edges are 7.442, 3.796 and 7.633 Å and the angles 90.00°, 105.82° and 90.00°. Symmetry generates all atoms from Pm at (0.000, 0.000, 0.000), Mg at (0.500, 0.500, 0.000), Br at (0.277, 0.500, 0.230) and Br at (0.285, 0.000, 0.793).

As for the size of the total moment: 0.000 μB per atom. The calculated volume is 207.5 Å³ per cell. The formation energy without anion corrections is -1528.0 meV per atom. As for the total DFT energy (no corrections): -3.701 eV per atom.

---

(4)
This record from Alexandria describes a relaxed structure of PmMg2Br6. The functional is PBE.

The structure belongs to space group C2/m (No. 12); the cell edges are 14.241, 3.955 and 11.775 Å and the angles 90.00°, 98.07° and 90.00°. Symmetry generates all atoms from Pm at (0.000, 0.000, 0.000), Mg at (0.212, 0.500, 0.729), Br at (0.111, 0.000, 0.229), Br at (0.135, 0.500, 0.916) and Br at (0.149, 0.000, 0.610).

As for the size of the total moment: 0.039 μB per atom. The calculated volume is 656.7 Å³ per cell. The formation energy without anion corrections is -1449.9 meV per atom. As for the total DFT energy (no corrections): -3.447 eV per atom.

---

(5)
This record from Alexandria describes a relaxed structure of PmMgBr. The functional is PBE.

The structure belongs to space group P-6m2 (No. 187); the cell edges are 3.6975, 3.6975 and 15.6567 Å and the angles 90.00°, 90.00° and 120.00°. Symmetry generates all atoms from Pm at (0.0000, 0.0000, 0.1707), Mg at (0.6667, 0.3333, 0.0000), Mg at (0.6667, 0.3333, 0.5000) and Br at (0.6667, 0.3333, 0.3062).

As for the size of the total moment: 0.000 μB per atom. The calculated volume is 185.4 Å³ per cell. The formation energy without anion corrections is -637.3 meV per atom. As for the total DFT energy (no corrections): -3.310 eV per atom.

---

(6)
This record from Alexandria describes a relaxed structure of Pm2MgBr. The functional is PBE.

The structure belongs to space group R-3m (No. 166, hexagonal axes); the cell edges are 3.5106, 3.5106 and 34.5891 Å and the angles 90.00°, 90.00° and 120.00°. Symmetry generates all atoms from Pm at (0.0000, 0.0000, 0.0968), Mg at (0.0000, 0.0000, 0.0000) and Br at (0.0000, 0.0000, 0.5000).

As for the polymorph energy (0 for the lowest one): 0.213 eV/atom. As for the size of the total moment: 0.000 μB per atom. The calculated volume is 369.2 Å³ per cell. The formation energy without anion corrections is -288.3 meV per atom. As for the total DFT energy (no corrections): -3.480 eV per atom.

---

(7)
This record from Alexandria describes a relaxed structure of Pm2MgBr. The functional is PBE.

The structure belongs to space group P4/mmm (No. 123); the cell edges are 3.563, 3.563 and 8.863 Å and the angles 90.00°, 90.00° and 90.00°. Symmetry generates all atoms from Pm at (0.000, 0.000, 0.247), Mg at (0.500, 0.500, 0.000) and Br at (0.500, 0.500, 0.500).

As for the polymorph energy (0 for the lowest one): 0.008 eV/atom. As for the size of the total moment: 0.000 μB per atom. The calculated volume is 112.5 Å³ per cell. The formation energy without anion corrections is -493.2 meV per atom. As for the total DFT energy (no corrections): -3.685 eV per atom.

---

(8)
This record from Alexandria describes a relaxed structure of RbPmMgBr6. The functional is PBE.

The structure belongs to space group P-31c (No. 163); the cell edges are 7.2950, 7.2950 and 15.2749 Å and the angles 90.00°, 90.00° and 120.00°. Symmetry generates all atoms from Rb at (0.0000, 0.0000, 0.0000), Pm at (0.3333, 0.6667, 0.2500), Mg at (0.3333, 0.6667, 0.7500) and Br at (0.0181, 0.3836, 0.6447).

As for the size of the total moment: 0.000 μB per atom. The calculated volume is 704.0 Å³ per cell. The formation energy without anion corrections is -1733.0 meV per atom. As for the total DFT energy (no corrections): -3.661 eV per atom.

---

(9)
This record from Alexandria describes a relaxed structure of PrMgBr4. The functional is PBE.

The structure belongs to space group P2/m (No. 10); the cell edges are 7.206, 3.816 and 7.561 Å and the angles 90.00°, 95.37° and 90.00°. Symmetry generates all atoms from Pr at (0.000, 0.000, 0.000), Mg at (0.000, 0.500, 0.500), Br at (0.210, 0.000, 0.365) and Br at (0.237, 0.500, 0.804).

As for the size of the total moment: 0.000 μB per atom. The calculated volume is 207.0 Å³ per cell. The formation energy without anion corrections is -1538.9 meV per atom. As for the total DFT energy (no corrections): -3.717 eV per atom.

---

(10)
This record from Alexandria describes a relaxed structure of PrMgBr6. The functional is PBE.

The structure belongs to space group Fm-3m (No. 225); the cell edges are 11.130, 11.130 and 11.130 Å and the angles 90.00°, 90.00° and 90.00°. Symmetry generates all atoms from Pr at (0.000, 0.000, 0.000), Mg at (0.000, 0.000, 0.500) and Br at (0.000, 0.000, 0.261).

As for the size of the total moment: 0.000 μB per atom. The calculated volume is 1378.9 Å³ per cell. The formation energy without anion corrections is -1294.6 meV per atom. As for the total DFT energy (no corrections): -3.346 eV per atom.

---

(11)
This record from Alexandria describes a relaxed structure of PrMgBr2. The functional is PBE.

The structure belongs to space group R-3m (No. 166, hexagonal axes); the cell edges are 3.7664, 3.7664 and 28.6612 Å and the angles 90.00°, 90.00° and 120.00°. Symmetry generates all atoms from Pr at (0.0000, 0.0000, 0.0000), Mg at (0.0000, 0.0000, 0.5000) and Br at (0.0000, 0.0000, 0.1115).

As for the size of the total moment: 0.000 μB per atom. The calculated volume is 352.1 Å³ per cell. The formation energy without anion corrections is -817.4 meV per atom. As for the total DFT energy (no corrections): -3.247 eV per atom.

---

(12)
This record from Alexandria describes a relaxed structure of RbPrMgBr6. The functional is PBE.

The structure belongs to space group P-31c (No. 163); the cell edges are 7.3650, 7.3650 and 15.1759 Å and the angles 90.00°, 90.00° and 120.00°. Symmetry generates all atoms from Rb at (0.0000, 0.0000, 0.0000), Pr at (0.3333, 0.6667, 0.2500), Mg at (0.3333, 0.6667, 0.7500) and Br at (0.0222, 0.3857, 0.6436).

As for the size of the total moment: 0.000 μB per atom. The calculated volume is 712.9 Å³ per cell. The formation energy without anion corrections is -1728.7 meV per atom. As for the total DFT energy (no corrections): -3.660 eV per atom.

---

(13)
This record from Alexandria describes a relaxed structure of MgPt2Br. The functional is PBE.

The structure belongs to space group Cmmm (No. 65); the cell edges are 5.714, 8.121 and 3.048 Å and the angles 90.00°, 90.00° and 90.00°. Symmetry generates all atoms from Mg at (0.000, 0.000, 0.000), Pt at (0.250, 0.250, 0.500) and Br at (0.000, 0.500, 0.000).

As for the polymorph energy (0 for the lowest one): 0.368 eV/atom. As for the size of the total moment: 0.000 μB per atom. The calculated volume is 141.4 Å³ per cell. The formation energy without anion corrections is 96.5 meV per atom. As for the total DFT energy (no corrections): -3.741 eV per atom.

---

(14)
This record from Alexandria describes a relaxed structure of MgPt2Br. The functional is PBE.

The structure belongs to space group I-42d (No. 122); the cell edges are 3.907, 3.907 and 19.772 Å and the angles 90.00°, 90.00° and 90.00°. Symmetry generates all atoms from Mg at (0.000, 0.000, 0.000), Pt at (0.236, 0.250, 0.125) and Br at (0.000, 0.000, 0.500).

As for the polymorph energy (0 for the lowest one): 0.172 eV/atom. As for the size of the total moment: 0.000 μB per atom. The calculated volume is 301.8 Å³ per cell. The formation energy without anion corrections is -99.4 meV per atom. As for the total DFT energy (no corrections): -3.937 eV per atom.

---

(15)
This record from Alexandria describes a relaxed structure of MgPt2Br. The functional is PBE.

The structure belongs to space group C2/m (No. 12); the cell edges are 10.026, 3.207 and 4.511 Å and the angles 90.00°, 98.75° and 90.00°. Symmetry generates all atoms from Mg at (0.000, 0.000, 0.000), Pt at (0.226, 0.500, 0.230) and Br at (0.000, 0.500, 0.500).

As for the polymorph energy (0 for the lowest one): 0.079 eV/atom. As for the size of the total moment: 0.000 μB per atom. The calculated volume is 143.3 Å³ per cell. The formation energy without anion corrections is -192.4 meV per atom. As for the total DFT energy (no corrections): -4.030 eV per atom.

---

(16)
This record from Alexandria describes a relaxed structure of MgPt2Br. The functional is PBE.

The structure belongs to space group P4mm (No. 99); the cell edges are 3.533, 3.533 and 7.292 Å and the angles 90.00°, 90.00° and 90.00°. Symmetry generates all atoms from Mg at (0.000, 0.000, 0.000), Pt at (0.000, 0.000, 0.350), Pt at (0.500, 0.500, 0.260) and Br at (0.500, 0.500, 0.800).

As for the polymorph energy (0 for the lowest one): 0.000 eV/atom. As for the size of the total moment: 0.000 μB per atom. The calculated volume is 91.0 Å³ per cell. The formation energy without anion corrections is -271.4 meV per atom. As for the total DFT energy (no corrections): -4.109 eV per atom.

---

(17)
This record from Alexandria describes a relaxed structure of MgPt2Br. The functional is PBE.

The structure belongs to space group P4/mmm (No. 123); the cell edges are 4.003, 4.003 and 4.407 Å and the angles 90.00°, 90.00° and 90.00°. Symmetry generates all atoms from Mg at (0.000, 0.000, 0.000), Pt at (0.000, 0.500, 0.500) and Br at (0.500, 0.500, 0.000).

As for the polymorph energy (0 for the lowest one): 0.252 eV/atom. As for the size of the total moment: 0.000 μB per atom. The calculated volume is 70.6 Å³ per cell. The formation energy without anion corrections is -19.0 meV per atom. As for the total DFT energy (no corrections): -3.856 eV per atom.

---

(18)
This record from Alexandria describes a relaxed structure of Mg4PtBr. The functional is PBE.

The structure belongs to space group F-43m (No. 216); the cell edges are 8.020, 8.020 and 8.020 Å and the angles 90.00°, 90.00° and 90.00°. Symmetry generates all atoms from Mg at (0.124, 0.124, 0.124), Pt at (0.250, 0.250, 0.750) and Br at (0.000, 0.000, 0.500).

As for the size of the total moment: 0.000 μB per atom. The calculated volume is 515.8 Å³ per cell. The formation energy without anion corrections is 46.5 meV per atom. As for the total DFT energy (no corrections): -2.302 eV per atom.

---

(19)
This record from Alexandria describes a relaxed structure of MgPt2Br. The functional is PBE.

The structure belongs to space group Cm (No. 8); the cell edges are 8.785, 3.227 and 6.865 Å and the angles 90.00°, 99.63° and 90.00°. Symmetry generates all atoms from Mg at (0.000, 0.000, 0.000), Pt at (0.038, 0.500, 0.687), Pt at (0.271, 0.000, 0.770) and Br at (0.100, 0.500, 0.281).

As for the polymorph energy (0 for the lowest one): 0.033 eV/atom. As for the size of the total moment: 0.000 μB per atom. The calculated volume is 191.9 Å³ per cell. The formation energy without anion corrections is -238.6 meV per atom. As for the total DFT energy (no corrections): -4.076 eV per atom.

---

(20)
This record from Alexandria describes a relaxed structure of MgPt2Br. The functional is PBE.

The structure belongs to space group I4/mmm (No. 139); the cell edges are 3.947, 3.947 and 9.147 Å and the angles 90.00°, 90.00° and 90.00°. Symmetry generates all atoms from Mg at (0.000, 0.000, 0.000), Pt at (0.000, 0.500, 0.250) and Br at (0.000, 0.000, 0.500).

As for the polymorph energy (0 for the lowest one): 0.208 eV/atom. As for the size of the total moment: 0.000 μB per atom. The calculated volume is 142.5 Å³ per cell. The formation energy without anion corrections is -63.7 meV per atom. As for the total DFT energy (no corrections): -3.901 eV per atom.